[1]
Computed, not measured: a relaxed structure of HgMo3Pd at the GGA-PBE level of DFT.

abc: 4.7489 4.7489 4.7489
angles: 90.00 90.00 90.00
Element x y z (fractional)
Mo: 0.0000 0.5000 0.0000
Mo: 0.0000 0.0000 0.5000
Mo: 0.5000 0.0000 0.0000
Hg: 0.5000 0.5000 0.5000
Pd: 0.0000 0.0000 0.0000

Output
Crystal system: cubic
Energy above the lowest structure with this stoichiometry, eV per atom: 0.0000
Energy relative to the elements, meV per atom: 1867

[2]
Computed, not measured: a relaxed structure of SrPtAu3 at the GGA-PBE level of DFT.

abc: 5.5430 5.5430 5.5430
angles: 90.00 90.00 90.00
Element x y z (fractional)
Sr: 0.0000 0.0000 0.0000
Au: 0.0000 0.5000 0.0000
Au: 0.0000 0.0000 0.5000
Au: 0.5000 0.0000 0.0000
Pt: 0.5000 0.5000 0.5000

Output
Crystal system: cubic
Energy above the lowest structure with this stoichiometry, eV per atom: 1.7752
Energy relative to the elements, meV per atom: 1283

[3]
Computed, not measured: a relaxed structure of NdThCo2 at the GGA-PBE level of DFT.

abc: 3.4555 3.4555 6.9453
angles: 90.00 90.00 90.00
Element x y z (fractional)
Co: 0.0000 0.0000 0.7888
Co: 0.0000 0.0000 0.2112
Nd: 0.5000 0.5000 0.5000
Th: 0.5000 0.5000 0.0000

Output
Crystal system: tetragonal
Energy above the lowest structure with this stoichiometry, eV per atom: 0.1022
Energy relative to the elements, meV per atom: -82

[4]
Computed, not measured: a relaxed structure of Na3YMg at the GGA-PBE level of DFT.

abc: 6.4531 6.4531 6.4531
angles: 90.00 90.00 90.00
Element x y z (fractional)
Y: 0.0000 0.0000 0.0000
Na: 0.0000 0.5000 0.0000
Na: 0.0000 0.0000 0.5000
Na: 0.5000 0.0000 0.0000
Mg: 0.5000 0.5000 0.5000

Output
Crystal system: cubic
Energy above the lowest structure with this stoichiometry, eV per atom: 0.3980
Energy relative to the elements, meV per atom: 1008

[5]
Computed, not measured: a relaxed structure of TaTlSe3 at the GGA-PBE level of DFT.

abc: 3.6594 9.8199 15.2289
angles: 90.00 90.00 90.00
Element x y z (fractional)
Ta: 0.2500 0.1589 0.4275
Ta: 0.7500 0.8411 0.5725
Ta: 0.2500 0.6589 0.0725
Ta: 0.7500 0.3411 0.9275
Tl: 0.7500 0.0011 0.1714
Tl: 0.2500 0.9989 0.8286
Tl: 0.7500 0.5011 0.3286
Tl: 0.2500 0.4989 0.6714
Se: 0.2500 0.0278 0.5970
Se: 0.7500 0.9722 0.4030
Se: 0.2500 0.5278 0.9030
Se: 0.7500 0.4722 0.0970
Se: 0.2500 0.2455 0.2803
Se: 0.7500 0.7545 0.7197
Se: 0.2500 0.7455 0.2197
Se: 0.7500 0.2545 0.7803
Se: 0.2500 0.1891 0.9987
Se: 0.7500 0.8109 0.0013
Se: 0.2500 0.6891 0.5013
Se: 0.7500 0.3109 0.4987

Output
Crystal system: orthorhombic
Energy above the lowest structure with this stoichiometry, eV per atom: 0.0000
Formation energy (no corrections), eV per atom: -0.639

[6]
Computed, not measured: a relaxed structure of Sr2AgPb8 at the GGA-PBE level of DFT.

abc: 5.0637 5.0637 13.3881
angles: 90.00 90.00 90.00
Element x y z (fractional)
Sr: 0.0000 0.0000 0.3163
Sr: 0.0000 0.0000 0.6837
Ag: 0.0000 0.0000 0.0000
Pb: 0.0000 0.5000 0.5000
Pb: 0.5000 0.0000 0.5000
Pb: 0.5000 0.5000 0.3097
Pb: 0.5000 0.5000 0.6903
Pb: 0.0000 0.5000 0.1278
Pb: 0.5000 0.0000 0.1278
Pb: 0.0000 0.5000 0.8722
Pb: 0.5000 0.0000 0.8722

Output
Crystal system: tetragonal
Energy relative to the elements, meV per atom: -225

[7]
Computed, not measured: a relaxed structure of La4ZnAu at the GGA-PBE level of DFT.

abc: 6.3709 6.3709 6.3709
angles: 60.00 60.00 60.00
Element x y z (fractional)
La: 0.3749 0.8752 0.3749
La: 0.8752 0.3749 0.3749
La: 0.3749 0.3749 0.8752
La: 0.3749 0.3749 0.3749
Zn: 0.7500 0.7500 0.7500
Au: 0.0000 0.0000 0.0000

Output
Crystal system: cubic
Energy above the lowest structure with this stoichiometry, eV per atom: 0.6434
Energy relative to the elements, meV per atom: 297

[8]
Computed, not measured: a relaxed structure of LaHgClO at the GGA-PBE level of DFT.

abc: 4.0801 4.0801 13.1035
angles: 90.00 90.00 90.00
Element x y z (fractional)
La: 0.7500 0.7500 0.9062
La: 0.2500 0.2500 0.0938
Hg: 0.2500 0.7500 0.5000
Hg: 0.7500 0.2500 0.5000
Cl: 0.7500 0.7500 0.2040
Cl: 0.2500 0.2500 0.7960
O: 0.7500 0.2500 0.0000
O: 0.2500 0.7500 0.0000

Output
Crystal system: tetragonal
Formation energy (no corrections), eV per atom: -2.295

[9]
Computed, not measured: a relaxed structure of Tm2ZnCu12Ni3 at the GGA-PBE level of DFT.

abc: 6.3364 6.3364 6.3364
angles: 83.06 83.06 83.06
Element x y z (fractional)
Tm: 0.7450 0.7450 0.7450
Tm: 0.2550 0.2550 0.2550
Zn: 0.0000 0.0000 0.0000
Cu: 0.4223 0.4223 0.8540
Cu: 0.8004 0.8004 0.2819
Cu: 0.2819 0.8004 0.8004
Cu: 0.8540 0.4223 0.4223
Cu: 0.8004 0.2819 0.8004
Cu: 0.4223 0.8540 0.4223
Cu: 0.5777 0.5777 0.1460
Cu: 0.1996 0.1996 0.7181
Cu: 0.7181 0.1996 0.1996
Cu: 0.1460 0.5777 0.5777
Cu: 0.1996 0.7181 0.1996
Cu: 0.5777 0.1460 0.5777
Ni: 0.5000 0.0000 0.0000
Ni: 0.0000 0.5000 0.0000
Ni: 0.0000 0.0000 0.5000

Output
Crystal system: trigonal
Energy relative to the elements, meV per atom: -9

[10]
Computed, not measured: a relaxed structure of MnTe2Au at the GGA-PBE level of DFT.

abc: 17.6949 4.0833 7.9312
angles: 90.00 133.99 90.00
Element x y z (fractional)
Te: 0.8968 0.0406 0.6409
Te: 0.1032 0.9594 0.3591
Te: 0.6032 0.5406 0.8591
Te: 0.3968 0.4594 0.1409
Te: 0.1152 0.5540 0.8558
Te: 0.8848 0.4460 0.1442
Te: 0.3848 0.0540 0.6442
Te: 0.6152 0.9460 0.3558
Au: 0.2612 0.0566 0.1007
Au: 0.7388 0.9434 0.8993
Au: 0.2388 0.5566 0.3993
Au: 0.7612 0.4434 0.6007
Mn: 0.5439 0.1750 0.5246
Mn: 0.4561 0.8250 0.4754
Mn: 0.9561 0.6750 0.9754
Mn: 0.0439 0.3250 0.0246

Output
Crystal system: monoclinic
Energy above the lowest structure with this stoichiometry, eV per atom: 0.0946
Formation energy (no corrections), eV per atom: 0.005

[11]
Computed, not measured: a relaxed structure of CeSm6 at the GGA-PBE level of DFT.

abc: 7.0686 7.0686 7.0686
angles: 109.47 109.47 109.47
Element x y z (fractional)
Ce: 0.0000 0.0000 0.0000
Sm: 0.2500 0.7500 0.5000
Sm: 0.5000 0.7500 0.2500
Sm: 0.2500 0.5000 0.7500
Sm: 0.7500 0.2500 0.5000
Sm: 0.5000 0.2500 0.7500
Sm: 0.7500 0.5000 0.2500

Output
Crystal system: cubic
Energy relative to the elements, meV per atom: 1256

[12]
Computed, not measured: a relaxed structure of Ba2SiMo at the GGA-PBE level of DFT.

abc: 5.4490 5.4490 5.4490
angles: 120.08 120.08 89.87
Element x y z (fractional)
Ba: 0.0000 0.0000 0.0000
Ba: 0.2500 0.7500 0.5000
Mo: 0.5000 0.5000 0.0000
Si: 0.7500 0.2500 0.5000

Output
Crystal system: tetragonal
Formation energy (no corrections), eV per atom: 0.776

[13]
Computed, not measured: a relaxed structure of NaP2S2 at the GGA-PBE level of DFT.

abc: 8.0746 8.0746 3.2373
angles: 90.00 90.00 90.00
Element x y z (fractional)
P: 0.2093 0.7093 0.5000
P: 0.7093 0.7907 0.5000
P: 0.7907 0.2907 0.5000
P: 0.2907 0.2093 0.5000
S: 0.3368 0.8368 0.0000
S: 0.8368 0.6632 0.0000
S: 0.6632 0.1632 0.0000
S: 0.1632 0.3368 0.0000
Na: 0.0000 0.0000 0.0000
Na: 0.5000 0.5000 0.0000

Output
Crystal system: tetragonal
Energy above the lowest structure with this stoichiometry, eV per atom: 0.0000
Formation energy (no corrections), eV per atom: -0.054

[14]
Computed, not measured: a relaxed structure of LaCu3Si at the GGA-PBE level of DFT.

abc: 5.1452 5.1452 5.1452
angles: 90.00 90.00 90.00
Element x y z (fractional)
Si: 0.5000 0.5000 0.5000
Cu: 0.0000 0.5000 0.0000
Cu: 0.0000 0.0000 0.5000
Cu: 0.5000 0.0000 0.0000
La: 0.0000 0.0000 0.0000

Output
Crystal system: cubic
Energy above the lowest structure with this stoichiometry, eV per atom: 1.8391
Formation energy (no corrections), eV per atom: 1.481

[15]
Computed, not measured: a relaxed structure of PmInAgAs at the GGA-PBE level of DFT.

abc: 5.1241 5.1241 5.1241
angles: 60.00 60.00 60.00
Element x y z (fractional)
As: 0.0000 0.0000 0.0000
In: 0.7500 0.7500 0.7500
Ag: 0.5000 0.5000 0.5000
Pm: 0.2500 0.2500 0.2500

Output
Crystal system: cubic
Energy relative to the elements, meV per atom: -368

[16]
Computed, not measured: a relaxed structure of Ho3CdAg4 at the GGA-PBE level of DFT.

abc: 3.3595 9.3549 7.8743
angles: 126.44 102.32 90.00
Element x y z (fractional)
Ho: 0.2202 0.2202 0.4404
Ho: 0.7798 0.7798 0.5596
Ho: 0.0000 0.5000 0.0000
Cd: 0.5000 0.0000 0.0000
Ag: 0.3758 0.6147 0.7515
Ag: 0.6242 0.3853 0.2485
Ag: 0.6242 0.8632 0.2485
Ag: 0.3758 0.1368 0.7515

Output
Crystal system: orthorhombic
Energy above the lowest structure with this stoichiometry, eV per atom: 0.1668
Energy relative to the elements, meV per atom: -93

[17]
Computed, not measured: a relaxed structure of Ho2RuBr at the GGA-PBE level of DFT.

abc: 3.3840 3.3840 8.1385
angles: 90.00 90.00 90.00
Element x y z (fractional)
Ru: 0.5000 0.5000 0.0000
Ho: 0.0000 0.0000 0.7956
Ho: 0.0000 0.0000 0.2044
Br: 0.5000 0.5000 0.5000

Output
Crystal system: tetragonal
Energy above the lowest structure with this stoichiometry, eV per atom: 0.0000
Formation energy (no corrections), eV per atom: -0.780

[18]
Computed, not measured: a relaxed structure of K2Ag2As at the GGA-PBE level of DFT.

abc: 3.8335 3.8335 10.7347
angles: 79.71 79.71 90.00
Element x y z (fractional)
As: 0.0000 0.0000 0.0000
K: 0.4016 0.4016 0.1968
K: 0.5984 0.5984 0.8032
Ag: 0.7500 0.2500 0.5000
Ag: 0.2500 0.7500 0.5000

Output
Crystal system: tetragonal
Energy above the lowest structure with this stoichiometry, eV per atom: 0.0885
Energy relative to the elements, meV per atom: 22

[19]
Computed, not measured: a relaxed structure of HfCuNi3 at the GGA-PBE level of DFT.

abc: 4.5274 4.5274 4.5274
angles: 90.00 90.00 90.00
Element x y z (fractional)
Ni: 0.0000 0.5000 0.0000
Ni: 0.0000 0.0000 0.5000
Ni: 0.5000 0.0000 0.0000
Hf: 0.0000 0.0000 0.0000
Cu: 0.5000 0.5000 0.5000

Output
Crystal system: cubic
Energy above the lowest structure with this stoichiometry, eV per atom: 1.3131
Energy relative to the elements, meV per atom: 1253

[20]
Computed, not measured: a relaxed structure of Ga2Cu15Au2 at the GGA-PBE level of DFT.

abc: 6.4242 6.4242 6.4242
angles: 82.06 82.06 82.06
Element x y z (fractional)
Ga: 0.8921 0.8921 0.8921
Ga: 0.1079 0.1079 0.1079
Cu: 0.0000 0.5000 0.0000
Cu: 0.0000 0.0000 0.5000
Cu: 0.5000 0.0000 0.0000
Cu: 0.3275 0.0000 0.6725
Cu: 0.6725 0.3275 0.0000
Cu: 0.0000 0.6725 0.3275
Cu: 0.3275 0.6725 0.0000
Cu: 0.0000 0.3275 0.6725
Cu: 0.6725 0.0000 0.3275
Cu: 0.3386 0.8318 0.3386
Cu: 0.3386 0.3386 0.8318
Cu: 0.8318 0.3386 0.3386
Cu: 0.6614 0.1682 0.6614
Cu: 0.6614 0.6614 0.1682
Cu: 0.1682 0.6614 0.6614
Au: 0.6338 0.6338 0.6338
Au: 0.3662 0.3662 0.3662

Output
Crystal system: trigonal
Energy relative to the elements, meV per atom: 54

[21]
Computed, not measured: a relaxed structure of Ac2Zn4GePd3 at the GGA-PBE level of DFT.

abc: 4.4382 4.4382 10.5758
angles: 90.00 90.00 90.00
Element x y z (fractional)
Ac: 0.5000 0.0000 0.2548
Ac: 0.0000 0.5000 0.7452
Zn: 0.5000 0.5000 0.0000
Zn: 0.0000 0.0000 0.0000
Zn: 0.5000 0.0000 0.6295
Zn: 0.0000 0.5000 0.3705
Ge: 0.5000 0.5000 0.5000
Pd: 0.0000 0.0000 0.5000
Pd: 0.5000 0.0000 0.8725
Pd: 0.0000 0.5000 0.1275

Output
Crystal system: tetragonal
Energy relative to the elements, meV per atom: -592

[22]
Computed, not measured: a relaxed structure of Cr2FeH2 at the GGA-PBE level of DFT.

abc: 5.4525 5.4525 2.5561
angles: 90.00 90.00 90.00
Element x y z (fractional)
Cr: 0.1453 0.6453 0.5000
Cr: 0.6453 0.8547 0.5000
Cr: 0.8547 0.3547 0.5000
Cr: 0.3547 0.1453 0.5000
Fe: 0.0000 0.0000 0.0000
Fe: 0.5000 0.5000 0.0000
H: 0.3377 0.8377 0.0000
H: 0.8377 0.6623 0.0000
H: 0.6623 0.1623 0.0000
H: 0.1623 0.3377 0.0000

Output
Crystal system: tetragonal
Energy above the lowest structure with this stoichiometry, eV per atom: 0.0986

[23]
Computed, not measured: a relaxed structure of LiTlO at the GGA-PBE level of DFT.

abc: 3.6537 3.3839 8.5670
angles: 90.00 90.13 90.00
Element x y z (fractional)
Li: 0.7500 0.2500 0.5267
Li: 0.2500 0.7500 0.4733
Tl: 0.7499 0.2500 0.1846
Tl: 0.2501 0.7500 0.8154
O: 0.2506 0.2500 0.6141
O: 0.7494 0.7500 0.3859

Output
Crystal system: monoclinic
Energy above the lowest structure with this stoichiometry, eV per atom: 0.0000
Formation energy (no corrections), eV per atom: -1.208

[24]
Computed, not measured: a relaxed structure of HgTeAu2 at the GGA-PBE level of DFT.

abc: 5.5619 5.5619 5.5619
angles: 134.05 134.05 67.02
Element x y z (fractional)
Au: 0.0000 0.0000 0.0000
Au: 0.2500 0.7500 0.5000
Hg: 0.5000 0.5000 0.0000
Te: 0.7500 0.2500 0.5000

Output
Crystal system: tetragonal
Energy above the lowest structure with this stoichiometry, eV per atom: 0.1820
Formation energy (no corrections), eV per atom: 0.216

| no. | V (Å³/atom) | magnetic moment (Bohr magnetons per cell) |
| --- | --- | --- |
| 1 | 21.42 | 0.000 |
| 2 | 34.06 | 1.021 |
| 3 | 20.73 | 0.000 |
| 4 | 53.74 | 1.042 |
| 5 | 27.36 | 0.000 |
| 6 | 31.21 | 0.000 |
| 7 | 30.47 | 0.000 |
| 8 | 27.27 | 0.000 |
| 9 | 13.85 | 0.000 |
| 10 | 25.77 | 0.000 |
| 11 | 38.84 | 1.459 |
| 12 | 28.57 | 3.963 |
| 13 | 21.11 | 0.000 |
| 14 | 27.24 | 0.000 |
| 15 | 23.78 | 0.000 |
| 16 | 23.99 | 0.000 |
| 17 | 23.30 | 0.000 |
| 18 | 30.53 | 0.000 |
| 19 | 18.56 | 0.000 |
| 20 | 13.59 | 0.000 |
| 21 | 20.83 | 0.000 |
| 22 | 7.60 | 0.000 |
| 23 | 17.65 | 0.000 |
| 24 | 21.86 | 0.000 |